The following is a GGA-PBE calculation of crystalline Y2Bi2H at its relaxed geometry, from the Alexandria database.

a b c (Å): 7.2573 7.2573 4.8746
angles (deg): 90.00 90.00 90.00
Closest atoms and distances in Å follow each position.
Fractional coordinates of all 10 atoms:
Y 0.3255 0.8255 0.0000  2 H 2.68
Y 0.8255 0.6745 0.0000  2 H 2.68
Y 0.6745 0.1745 0.0000  2 H 2.68
Y 0.1745 0.3255 0.0000  2 H 2.68
H 0.0000 0.0000 0.0000  4 Y 2.68
H 0.5000 0.5000 0.0000  4 Y 2.68
Bi 0.1475 0.6475 0.5000  1 Bi 3.03, 6 Y 3.05-3.38
Bi 0.6475 0.8525 0.5000  1 Bi 3.03, 6 Y 3.05-3.38
Bi 0.8525 0.3525 0.5000  1 Bi 3.03, 6 Y 3.05-3.38
Bi 0.3525 0.1475 0.5000  1 Bi 3.03, 6 Y 3.05-3.38

Values from the calculation:
final energy	-52.34	eV per cell
energy relative to the lowest polymorph listed for this composition	0.89	eV/f.u.
calculated volume	257	Å³/cell
magnetic moment	0.0	μB/f.u.


The following is a GGA-PBE calculation of crystalline ZnBi2H2 at its relaxed geometry, from the Alexandria database.

a b c (Å): 5.1436 5.1436 3.3110
angles (deg): 90.00 90.00 90.00
Closest atoms and distances in Å follow each position.
Fractional coordinates of all 5 atoms:
H 0.0000 0.0000 0.0000  2 H 1.66
H 0.0000 0.0000 0.5000  2 H 1.66
Zn 0.5000 0.5000 0.5000  8 Bi 3.06, 2 Zn 3.31
Bi 0.0000 0.5000 0.0000  2 H 2.57
Bi 0.5000 0.0000 0.0000  2 H 2.57

Values from the calculation:
final energy	-12.76	eV per cell
energy relative to the lowest polymorph listed for this composition	1.74	eV/f.u.
calculated volume	88	Å³/cell
magnetic moment	0.0	μB/f.u.


The following is a GGA-PBE calculation of crystalline ZnBiH2 at its relaxed geometry, from the Alexandria database.

a b c (Å): 5.5452 5.5452 5.5332
angles (deg): 59.93 59.93 90.00
Closest atoms and distances in Å follow each position.
Fractional coordinates of all 8 atoms:
H 0.3758 0.1250 0.2500  2 Zn 1.70
H 0.3742 0.6250 0.2500  2 Zn 1.70
H 0.3750 0.6242 0.7500  2 Zn 1.70
H 0.8750 0.6258 0.7500  2 Zn 1.70
Zn 0.5000 0.5000 0.0000  4 H 1.70
Zn 0.2500 0.7500 0.5000  4 H 1.70
Bi 0.0000 0.0000 0.0000  12 H 3.24-3.25, 4 Zn 3.39, 4 Bi 3.39
Bi 0.7500 0.2500 0.5000  12 H 3.24-3.25, 4 Zn 3.39, 4 Bi 3.39

Values from the calculation:
final energy	-21.25	eV per cell
energy relative to the lowest polymorph listed for this composition	0.00	eV/f.u.
calculated volume	120	Å³/cell
magnetic moment	0.0	μB/f.u.


The following is a GGA-PBE calculation of crystalline ZnBi2H2 at its relaxed geometry, from the Alexandria database.

a b c (Å): 3.5930 3.5930 7.2885
angles (deg): 75.73 75.73 90.00
Closest atoms and distances in Å follow each position.
Fractional coordinates of all 5 atoms:
H 0.7500 0.2500 0.5000  4 Bi 2.39, 4 H 2.54
H 0.2500 0.7500 0.5000  4 Bi 2.39, 4 H 2.54
Zn 0.0000 0.0000 0.0000  8 Bi 3.14
Bi 0.3649 0.3649 0.2701  4 H 2.39
Bi 0.6351 0.6351 0.7299  4 H 2.39

Values from the calculation:
final energy	-13.45	eV per cell
energy relative to the lowest polymorph listed for this composition	1.05	eV/f.u.
calculated volume	88	Å³/cell
magnetic moment	0.0	μB/f.u.


The following is a GGA-PBE calculation of crystalline ZnBiH2 at its relaxed geometry, from the Alexandria database.

a b c (Å): 4.2388 4.2388 4.2388
angles (deg): 60.00 60.00 60.00
Closest atoms and distances in Å follow each position.
Fractional coordinates of all 4 atoms:
H 0.2500 0.2500 0.2500  4 Bi 2.60, 4 Zn 2.60
H 0.7500 0.7500 0.7500  4 Bi 2.60, 4 Zn 2.60
Zn 0.0000 0.0000 0.0000  8 H 2.60
Bi 0.5000 0.5000 0.5000  8 H 2.60

Values from the calculation:
final energy	-8.95	eV per cell
energy relative to the lowest polymorph listed for this composition	1.68	eV/f.u.
calculated volume	54	Å³/cell
magnetic moment	0.0	μB/f.u.


The following is a GGA-PBE calculation of crystalline ZnBi2H2 at its relaxed geometry, from the Alexandria database.

a b c (Å): 6.6561 4.7911 15.9208
angles (deg): 64.70 50.66 43.59
Closest atoms and distances in Å follow each position.
Fractional coordinates of all 10 atoms:
Zn 0.7708 0.1479 0.5943  2 H 1.75-1.77
Zn 0.2292 0.8521 0.4057  2 H 1.75-1.77
Bi 0.6703 0.6208 0.1974  1 Zn 2.63
Bi 0.8467 0.4345 0.7964  1 H 2.00
Bi 0.3297 0.3792 0.8026  1 Zn 2.63
Bi 0.1533 0.5655 0.2036  1 H 2.00
H 0.4294 0.5178 0.0412  1 H 1.01
H 0.5706 0.4822 0.9588  1 H 1.01
H 0.8160 0.0035 0.4955  2 Zn 1.75-1.77
H 0.1840 0.9965 0.5045  2 Zn 1.75-1.77

Values from the calculation:
final energy	-28.99	eV per cell
energy relative to the lowest polymorph listed for this composition	0.00	eV/f.u.
calculated volume	270	Å³/cell
magnetic moment	0.0	μB/f.u.